Compound: GdHg
Source: Alexandria via LeMat-Bulk
Functional: PBEsol
Structure: optimized geometry

It has space group Pm-3m (No. 221), with a = 3.681 Å, b = 3.681 Å, c = 3.681 Å, α = 90.00°, β = 90.00° and γ = 90.00°. The asymmetric unit holds Gd at (0.000, 0.000, 0.000) and Hg at (0.500, 0.500, 0.500).

For the energy of formation from the pure elements, the calculation gives -0.59 eV per atom.